1.
Compound: BaNp2SbS8
Source: Alexandria via LeMat-Bulk
Functional: PBE
Structure: optimized geometry

Structure (POSCAR):
```
BaNp2SbS8
1.0
-2.457 -2.863 5.301
-3.643 -3.621 -3.346
5.998 -5.740 -0.320
S Np Sb Ba
8 2 1 1
Direct
0.389 0.280 0.500 S
0.169 0.725 0.219 S
0.831 0.275 0.219 S
0.641 0.732 0.000 S
0.831 0.275 0.781 S
0.169 0.725 0.781 S
0.359 0.268 0.000 S
0.611 0.720 0.500 S
0.500 0.500 0.755 Np
0.500 0.500 0.245 Np
0.000 0.000 0.000 Sb
0.000 0.000 0.500 Ba
```

- space-group type = P2/m (10)
- uncorrected formation energy (kJ per mole of atoms) = -85

---

2.
Compound: HgAsN2
Source: Alexandria via LeMat-Bulk
Functional: PBE
Structure: optimized geometry

Structure (POSCAR):
```
HgAsN2
1.0
0.000 2.974 2.974
2.974 0.000 2.974
2.974 2.974 0.000
Hg As N
1 1 2
Direct
0.500 0.500 0.500 Hg
0.000 0.000 0.000 As
0.750 0.750 0.750 N
0.250 0.250 0.250 N
```

- offset from the most stable computed form (eV/atom) = 1.146
- space-group type = Fm-3m (225)
- uncorrected formation energy (kJ per mole of atoms) = 183

---

3.
Compound: Pm2GdSn
Source: Alexandria via LeMat-Bulk
Functional: PBE
Structure: optimized geometry

Structure (POSCAR):
```
Pm2GdSn
1.0
4.876 0.000 0.000
0.000 4.911 0.000
0.000 0.000 4.911
Gd Pm Sn
1 2 1
Direct
0.500 0.500 0.500 Gd
0.000 0.000 0.500 Pm
0.000 0.500 0.000 Pm
0.500 0.000 0.000 Sn
```

- offset from the most stable computed form (eV/atom) = 0.000
- space-group type = P4/mmm (123)
- formation energy from the elements (eV/atom) = -0.45